# Li4PbSe2 PBE relaxed
data_Li4PbSe2
_space_group_name_H-M_alt 'P 1'
_space_group_IT_number 1
_cell_length_a 4.915
_cell_length_b 4.915
_cell_length_c 7.850
_cell_angle_alpha 71.76
_cell_angle_beta 71.76
_cell_angle_gamma 90.00
loop_
_space_group_symop_operation_xyz
'x,y,z'
loop_
_atom_site_label
_atom_site_type_symbol
_atom_site_fract_x
_atom_site_fract_y
_atom_site_fract_z
Se1 Se 0.620 0.620 0.760
Se2 Se 0.380 0.380 0.240
Li1 Li 0.795 0.795 0.409
Pb1 Pb 0.000 0.000 0.000
Li2 Li 0.500 0.000 0.000
Li3 Li 0.205 0.205 0.591
Li4 Li 0.000 0.500 0.000
# * M_tot: 0.0 μB per cell
# * raw total energy: -20.07 eV per cell
# * density of states at the Fermi level: 3.827 states/eV/cell

# ScZn2Au2 PBE relaxed
data_ScZn2Au2
_space_group_name_H-M_alt 'P 1'
_space_group_IT_number 1
_cell_length_a 7.555
_cell_length_b 7.555
_cell_length_c 3.061
_cell_angle_alpha 90.00
_cell_angle_beta 90.00
_cell_angle_gamma 90.00
loop_
_space_group_symop_operation_xyz
'x,y,z'
loop_
_atom_site_label
_atom_site_type_symbol
_atom_site_fract_x
_atom_site_fract_y
_atom_site_fract_z
Sc1 Sc 0.000 0.000 0.000
Zn1 Zn 0.120 0.380 0.000
Au1 Au 0.320 0.180 0.500
Au2 Au 0.820 0.320 0.500
Zn2 Zn 0.880 0.620 0.000
Zn3 Zn 0.620 0.120 0.000
Zn4 Zn 0.380 0.880 0.000
Au3 Au 0.680 0.820 0.500
Au4 Au 0.180 0.680 0.500
Sc2 Sc 0.500 0.500 0.000
# * relative energy among the computed polymorphs: 121 meV/atom
# * M_tot: 1.0 μB per cell
# * raw total energy: -34.36 eV per cell
# * density of states at the Fermi level: 6.214 states/eV/cell
# * energy of formation from the pure elements: -0.35 eV per atom

What did the first record say?
# Li4PbSe2 PBE relaxed
data_Li4PbSe2
_space_group_name_H-M_alt 'P 1'
_space_group_IT_number 1
_cell_length_a 4.915
_cell_length_b 4.915
_cell_length_c 7.850
_cell_angle_alpha 71.76
_cell_angle_beta 71.76
_cell_angle_gamma 90.00
loop_
_space_group_symop_operation_xyz
'x,y,z'
loop_
_atom_site_label
_atom_site_type_symbol
_atom_site_fract_x
_atom_site_fract_y
_atom_site_fract_z
Se1 Se 0.620 0.620 0.760
Se2 Se 0.380 0.380 0.240
Li1 Li 0.795 0.795 0.409
Pb1 Pb 0.000 0.000 0.000
Li2 Li 0.500 0.000 0.000
Li3 Li 0.205 0.205 0.591
Li4 Li 0.000 0.500 0.000
# * M_tot: 0.0 μB per cell
# * raw total energy: -20.07 eV per cell
# * density of states at the Fermi level: 3.827 states/eV/cell